[1]
A plane-wave DFT calculation with PBE was carried out for a relaxed structure of PmNdTm3.

```
data_PmNdTm3
_cell_length_a 8.680
_cell_length_b 6.203
_cell_length_c 12.428
_cell_angle_alpha 90.00
_cell_angle_beta 105.57
_cell_angle_gamma 90.00
_symmetry_space_group_name_H-M 'P 1 21/c 1'
_symmetry_Int_Tables_number 14
loop_
_symmetry_equiv_pos_as_xyz
'x,y,z'
'-x,-y,-z'
'-x,y+1/2,-z+1/2'
'x,-y+1/2,z+1/2'
loop_
_atom_site_label
_atom_site_type_symbol
_atom_site_fract_x
_atom_site_fract_y
_atom_site_fract_z
Pm1 Pm 0.123 0.074 0.129
Nd1 Nd 0.409 0.679 0.552
Tm1 Tm 0.171 0.072 0.419
Tm2 Tm 0.198 0.562 0.271
Tm3 Tm 0.489 0.145 0.674
```

Summary:
* E above lowest polymorph: 0.62 eV/f.u.
* N(E_F): 25.616 states/eV/cell
* density: 8.20 g cm⁻³
* total energy: -4.448 eV/atom
* volume: 32.23 A^3/atom

***

[2]
A plane-wave DFT calculation with PBE was carried out for a relaxed structure of LaHo9Th2.

```
data_LaHo9Th2
_cell_length_a 5.019
_cell_length_b 5.019
_cell_length_c 15.091
_cell_angle_alpha 90.00
_cell_angle_beta 90.00
_cell_angle_gamma 90.00
_symmetry_space_group_name_H-M 'P 4/m m m'
_symmetry_Int_Tables_number 123
_symmetry_space_group_name_Hall '-P 4 2'
loop_
_atom_site_label
_atom_site_type_symbol
_atom_site_fract_x
_atom_site_fract_y
_atom_site_fract_z
La1 La 0.000 0.000 0.000
Ho1 Ho 0.000 0.500 0.172
Ho2 Ho 0.000 0.500 0.500
Ho3 Ho 0.500 0.500 0.000
Ho4 Ho 0.500 0.500 0.335
Th1 Th 0.000 0.000 0.334
```

Summary:
* N(E_F): 18.294 states/eV/cell
* density: 9.12 g cm⁻³
* total energy: -5.048 eV/atom
* volume: 31.68 A^3/atom

***

[3]
A plane-wave DFT calculation with PBE was carried out for a relaxed structure of Zn2NiMo.

```
data_Zn2NiMo
_cell_length_a 2.735
_cell_length_b 2.735
_cell_length_c 7.347
_cell_angle_alpha 90.00
_cell_angle_beta 90.00
_cell_angle_gamma 90.00
_symmetry_space_group_name_H-M 'P 4 m m'
_symmetry_Int_Tables_number 99
loop_
_symmetry_equiv_pos_as_xyz
'x,y,z'
'-y,x,z'
'-x,-y,z'
'y,-x,z'
'-x,y,z'
'y,x,z'
'x,-y,z'
'-y,-x,z'
loop_
_atom_site_label
_atom_site_type_symbol
_atom_site_fract_x
_atom_site_fract_y
_atom_site_fract_z
Zn1 Zn 0.000 0.000 0.000
Zn2 Zn 0.500 0.500 0.266
Ni1 Ni 0.500 0.500 0.777
Mo1 Mo 0.000 0.000 0.538
```

Summary:
* E above lowest polymorph: 0.00 eV/f.u.
* N(E_F): 2.277 states/eV/cell
* density: 8.62 g cm⁻³
* total energy: -4.846 eV/atom
* volume: 13.74 A^3/atom

***

Copy entry 1 word for word.
A plane-wave DFT calculation with PBE was carried out for a relaxed structure of PmNdTm3.

```
data_PmNdTm3
_cell_length_a 8.680
_cell_length_b 6.203
_cell_length_c 12.428
_cell_angle_alpha 90.00
_cell_angle_beta 105.57
_cell_angle_gamma 90.00
_symmetry_space_group_name_H-M 'P 1 21/c 1'
_symmetry_Int_Tables_number 14
loop_
_symmetry_equiv_pos_as_xyz
'x,y,z'
'-x,-y,-z'
'-x,y+1/2,-z+1/2'
'x,-y+1/2,z+1/2'
loop_
_atom_site_label
_atom_site_type_symbol
_atom_site_fract_x
_atom_site_fract_y
_atom_site_fract_z
Pm1 Pm 0.123 0.074 0.129
Nd1 Nd 0.409 0.679 0.552
Tm1 Tm 0.171 0.072 0.419
Tm2 Tm 0.198 0.562 0.271
Tm3 Tm 0.489 0.145 0.674
```

Summary:
* E above lowest polymorph: 0.62 eV/f.u.
* N(E_F): 25.616 states/eV/cell
* density: 8.20 g cm⁻³
* total energy: -4.448 eV/atom
* volume: 32.23 A^3/atom

***

Question: Among the records above, which one has the lowest total energy?
Answer: LaHo9Th2

***

Question: What is the density in the second record?
Answer: 9.12 g cm⁻³